GGA-PBE GeBiPCl2, relaxed; raw total energy = -15.85 eV/cell; mass density = 4.12 g/cm³; symmetry = P4/mmm (123); magnetization = 0.28 Bohr magnetons per cell
1.0
5.2873 0.0000 0.0000
0.0000 5.2873 0.0000
0.0000 0.0000 5.5237
P Ge Bi Cl
1 1 1 2
Direct
0.0000 0.0000 0.5000
0.5000 0.5000 0.5000
0.0000 0.0000 0.0000
0.0000 0.5000 0.0000
0.5000 0.0000 0.0000